An optimized crystal structure of NdHo3P, computed with PBE-GGA.

```
data_NdHo3P
_cell_length_a 5.375
_cell_length_b 5.375
_cell_length_c 5.375
_cell_angle_alpha 90.00
_cell_angle_beta 90.00
_cell_angle_gamma 90.00
_space_group_name_H-M_alt 'P m -3 m'
_space_group_IT_number 221
_space_group_name_Hall '-P 4 2 3'
loop_
_atom_site_label
_atom_site_type_symbol
_atom_site_fract_x
_atom_site_fract_y
_atom_site_fract_z
_atom_site_occupancy
Nd1 Nd 0.000 0.000 0.000 1
Ho1 Ho 0.000 0.500 0.500 1
P1 P 0.500 0.500 0.500 1
```

Total magnetization in μB/f.u.: 1.18
DFT formation energy in eV/atom: -0.4134